Entry 1:
Ba3AcPb3 (GGA-PBE, relaxed); space-group type = C2/m, No. 12
1.0
-0.925 -4.246 7.730
5.410 -6.031 -3.606
6.793 3.781 3.200
Pb Ba Ac
6 6 2
Cartesian
1.967 -1.182 4.642
6.504 -4.524 7.704
5.374 -9.061 4.430
4.773 -1.972 -0.379
5.904 2.565 2.895
9.310 -5.315 2.682
7.758 -3.845 -0.130
0.727 -4.712 4.774
5.713 -0.926 3.338
3.758 -5.566 -0.650
5.565 -5.570 3.987
3.519 -2.651 7.455
9.315 -4.580 5.927
1.962 -1.916 1.398

Entry 2:
Ba2Ac3Pb4 (GGA-PBE, relaxed); polymorph energy (0 for the lowest one) = 0 meV/atom; space-group type = P2_1/c, No. 14
1.0
8.890 0.114 0.000
-2.812 8.728 0.000
0.000 0.000 9.361
Pb Ac Ba
8 6 4
Cartesian
-0.237 4.398 8.154
6.316 4.443 1.207
-1.392 8.001 4.321
1.871 4.387 3.474
3.026 0.784 9.001
3.053 8.058 0.360
7.471 0.841 5.041
4.208 4.455 5.888
0.045 6.629 1.563
6.034 2.213 7.798
3.039 4.421 0.000
-1.406 4.364 4.681
1.588 2.156 6.244
4.490 6.685 3.117
1.555 7.102 6.367
0.079 1.683 1.686
6.000 7.159 7.675
4.524 1.739 2.994

Entry 3:
BaAc3Pb4 (GGA-PBE, relaxed); space-group type = Pmmm, No. 47
1.0
-2.897 -0.994 -4.632
8.037 -1.301 -4.747
-0.278 -10.842 2.501
Pb Ac Ba
8 6 2
Cartesian
-0.984 -4.025 -5.174
0.393 -6.239 -2.236
4.608 -1.478 -5.894
5.846 -9.113 -1.705
4.469 -6.899 -4.643
0.532 -0.818 -3.486
1.771 -8.453 0.703
3.092 -4.684 -7.582
-0.139 -5.421 1.250
2.501 -3.858 -4.064
-1.659 -8.629 -0.443
2.361 -9.279 -2.815
0.000 0.000 0.000
-1.517 -3.207 -1.688
4.019 -0.651 -2.374
3.880 -6.072 -1.123

Entry 4:
BaAc2Pd6Pb3 (GGA-PBE, relaxed); space-group type = P4/mmm, No. 123
1.0
-0.605 3.882 -1.914
-2.495 1.266 3.358
13.317 5.865 7.685
Ac Pb Pd Ba
2 3 6 1
Cartesian
0.349 3.411 1.818
9.867 7.603 7.310
5.081 2.238 2.932
0.000 0.000 0.000
8.236 3.627 4.753
11.089 4.884 6.399
8.356 4.862 7.220
2.228 0.981 1.286
2.467 2.269 3.822
3.411 3.577 1.186
9.300 6.170 4.584
5.108 5.507 4.564

Total magnetic moment, record by record: 0.0, 0.0, 0.0, 0.0 μB/f.u.
Energy of formation from the pure elements, record by record: -0.377, -0.574, -0.483, -0.593 eV per atom
Calculated volume, record by record: 46.973, 40.522, 36.411, 26.196 Å³ per atom